A geometry-optimized YMgCuPb structure, computed with PBE.

Lattice parameters (Å, degrees): 5.055 5.055 5.055 60.00 60.00 60.00
Sites, in units of the cell vectors:
Y 0.000 0.000 0.000
Mg 0.500 0.500 0.500
Cu 0.750 0.750 0.750
Pb 0.250 0.250 0.250

## Properties
Its energy relative to the elements is -199.9 meV/atom.